{"formula": "DyGa4Pt6", "functional": "PBE-GGA", "state": "optimized geometry", "formation_enthalpy_0k_ev_per_fu": -5.72, "sg": "I-42m, No. 121", "lattice": [[-3.304, -3.151, 4.827], [3.412, -3.505, -4.496], [5.452, 3.499, 1.473]], "species": ["Dy", "Pt", "Pt", "Pt", "Pt", "Pt", "Pt", "Ga", "Ga", "Ga", "Ga"], "fractional_positions": [[0.000, 0.000, 0.000], [0.500, 0.000, 0.500], [0.000, 0.446, 0.773], [0.326, 0.554, 0.554], [0.674, 0.227, 0.227], [0.000, 0.773, 0.446], [0.500, 0.500, 0.000], [0.410, 0.877, 0.877], [0.000, 0.534, 0.123], [0.000, 0.123, 0.534], [0.590, 0.466, 0.466]]}

{"formula": "KGe3I12", "functional": "PBE-GGA", "state": "optimized geometry", "sg": "R3c, No. 161", "e_form_raw_ev_per_atom": -0.382, "lattice": [[-1.483, -4.412, 12.233], [5.881, -11.087, 3.716], [12.139, 1.767, 9.111]], "species": ["I", "I", "I", "I", "I", "I", "I", "I", "I", "I", "I", "I", "I", "I", "I", "I", "I", "I", "I", "I", "I", "I", "I", "I", "Ge", "Ge", "Ge", "Ge", "Ge", "Ge", "K", "K"], "fractional_positions": [[0.858, 0.253, 0.625], [0.340, 0.471, 0.317], [0.373, 0.971, 0.817], [0.873, 0.340, 0.317], [0.074, 0.469, 0.997], [0.469, 0.460, 0.997], [0.625, 0.595, 0.547], [0.753, 0.358, 0.125], [0.125, 0.733, 0.047], [0.733, 0.095, 0.047], [0.971, 0.840, 0.817], [0.960, 0.969, 0.497], [0.460, 0.074, 0.997], [0.253, 0.264, 0.625], [0.595, 0.233, 0.547], [0.358, 0.764, 0.125], [0.471, 0.873, 0.317], [0.840, 0.373, 0.817], [0.264, 0.858, 0.625], [0.969, 0.574, 0.497], [0.574, 0.960, 0.497], [0.233, 0.625, 0.547], [0.095, 0.125, 0.047], [0.764, 0.753, 0.125], [0.694, 0.326, 0.998], [0.826, 0.194, 0.498], [0.194, 0.482, 0.498], [0.982, 0.694, 0.998], [0.482, 0.826, 0.498], [0.326, 0.982, 0.998], [0.546, 0.546, 0.362], [0.046, 0.046, 0.862]]}

{"formula": "GdDyAlCo", "functional": "PBE-GGA", "state": "optimized geometry", "formation_enthalpy_0k_ev_per_fu": -0.77, "sg": "F-43m, No. 216", "lattice": [[-2.501, 1.647, -3.976], [-3.782, -2.663, -1.840], [-4.674, 1.638, 0.502]], "species": ["Al", "Co", "Gd", "Dy"], "fractional_positions": [[0.750, 0.750, 0.750], [0.250, 0.250, 0.250], [0.000, 0.000, 0.000], [0.500, 0.500, 0.500]]}

Short version: VASP energy = -58.7 -39.7 -30.3 eV per formula unit, in the order given.